(1)
Computed, not measured: MgZn2P2O8 after structural relaxation at the PBE level of DFT.

Cell and atoms, written as POSCAR:
```
MgZn2P2O8
1.0
-2.685 -4.976 -4.904
5.113 -5.773 3.059
-3.386 -1.088 3.607
O Mg Zn P
16 2 4 4
Cartesian
-2.855 -5.030 -1.656
-2.042 -4.400 3.295
-2.872 -5.732 0.832
1.914 -6.104 0.929
-0.722 -5.218 -0.398
1.088 -4.518 2.660
1.085 -7.437 -1.534
-2.046 -7.319 -0.899
-0.769 -2.302 -1.302
1.305 -9.906 -1.384
-0.189 -9.535 3.064
-2.263 -1.930 3.146
1.897 -6.806 3.418
-0.236 -6.618 2.159
-0.564 -9.765 0.614
-0.394 -2.071 1.148
1.214 -5.374 -0.923
-1.693 -0.544 1.803
-0.478 -3.332 2.640
0.308 -7.846 4.058
-0.480 -8.504 -0.879
-1.266 -3.991 -2.297
1.170 -6.019 2.278
0.325 -2.129 -0.217
-1.283 -9.708 1.978
-2.128 -5.818 -0.517
```

Space-group type = P2_1/c, No. 14
Total DFT energy (no corrections) = -165.46 eV for the cell shown

(2)
Computed, not measured: NaUCu after structural relaxation at the PBE level of DFT.

Cell and atoms, written as POSCAR:
```
NaUCu
1.0
0.000 3.316 3.316
3.316 0.000 3.316
3.316 3.316 0.000
U Cu Na
1 1 1
Cartesian
4.974 4.974 4.974
0.000 0.000 0.000
1.658 1.658 1.658
```

Magnetization = 3.6 μB/cell
Space-group type = F-43m, No. 216
Total DFT energy (no corrections) = -13.28 eV for the cell shown
E above lowest polymorph = 0.000 eV per atom

(3)
Computed, not measured: Y2Lu4S3N3 after structural relaxation at the PBE level of DFT.

Cell and atoms, written as POSCAR:
```
Y2Lu4S3N3
1.0
5.304 -3.063 0.000
5.304 3.063 0.000
-3.534 0.000 12.439
Y N Lu S
4 6 8 6
Cartesian
2.645 -0.507 11.136
2.662 -0.507 7.522
4.429 0.507 1.303
4.412 0.507 4.917
2.652 1.531 0.000
2.618 1.592 6.219
0.885 -1.531 6.219
6.223 1.592 0.000
4.456 -1.592 6.219
4.385 -1.592 0.000
7.951 0.507 1.260
-0.877 -0.507 11.179
0.884 0.519 1.260
6.190 -0.519 11.179
-0.883 -0.519 7.480
7.957 0.519 4.959
0.890 0.507 4.959
6.184 -0.507 7.480
2.654 -2.610 9.329
0.835 0.538 9.320
6.239 -0.538 3.118
4.421 2.610 3.110
2.602 -0.538 3.101
4.472 0.538 9.338
```

Magnetization = 0.0 μB/cell
Space-group type = C2/c, No. 15
Total DFT energy (no corrections) = -181.22 eV for the cell shown

(4)
Computed, not measured: CsReO3 after structural relaxation at the PBE level of DFT.

Cell and atoms, written as POSCAR:
```
CsReO3
1.0
2.035 -5.099 0.600
-2.855 -4.348 -1.856
2.666 -2.647 -6.118
O Cs Re
6 2 2
Cartesian
-0.625 -3.592 -2.948
2.470 -8.502 -4.426
0.794 -1.418 -2.025
1.816 -3.959 -1.722
1.052 -10.677 -5.349
0.030 -8.136 -5.652
-0.173 -6.235 -1.562
2.019 -5.860 -5.812
1.198 -2.898 -3.273
0.647 -9.197 -4.101
```

Magnetization = 0.0 μB/cell
Space-group type = R-3m, No. 166
Total DFT energy (no corrections) = -71.91 eV for the cell shown

(5)
Computed, not measured: TbHo2Ge4Pt4 after structural relaxation at the PBE level of DFT.

Cell and atoms, written as POSCAR:
```
TbHo2Ge4Pt4
1.0
7.934 1.256 -0.922
3.434 6.129 4.001
-3.915 -7.074 0.042
Ge Pt Ho Tb
4 4 2 1
Cartesian
6.434 2.607 1.375
1.019 -2.296 1.745
2.494 1.620 0.675
8.874 5.765 2.403
8.848 3.248 1.812
2.549 -0.374 2.376
-1.396 -2.937 1.308
4.903 0.685 0.744
3.433 -1.984 -0.055
4.019 2.295 3.175
0.000 0.000 0.000
```

Magnetization = 0.0 μB/cell
Space-group type = Immm, No. 71
Total DFT energy (no corrections) = -67.40 eV for the cell shown

(6)
Computed, not measured: TbCuGeSe3 after structural relaxation at the PBE level of DFT.

Cell and atoms, written as POSCAR:
```
TbCuGeSe3
1.0
-1.492 5.844 3.303
-1.840 -4.504 -4.860
-5.546 -5.466 7.165
Ge Tb Se Cu
2 2 6 2
Cartesian
-5.904 -5.749 2.765
-2.975 1.623 2.843
-1.666 0.670 -0.778
-4.439 -2.063 2.804
-5.794 -2.481 5.343
-4.147 -5.290 -0.600
-2.203 -3.374 -3.111
-4.732 1.164 6.207
-3.084 -1.645 0.264
-6.676 -0.752 8.718
-3.217 -5.597 -2.854
-5.661 1.471 8.461
```

Magnetization = 0.0 μB/cell
Space-group type = Cmcm, No. 63
Total DFT energy (no corrections) = -56.77 eV for the cell shown
E above lowest polymorph = 0.000 eV per atom

(7)
Computed, not measured: Li2Mg2In2IrPt after structural relaxation at the PBE level of DFT.

Cell and atoms, written as POSCAR:
```
Li2Mg2In2IrPt
1.0
-3.692 -0.006 -2.688
0.454 -4.502 -0.613
-3.750 -1.079 5.153
In Mg Li Ir Pt
2 2 2 1 1
Cartesian
-0.732 -2.527 1.011
-4.637 -0.806 2.491
-2.792 -0.276 -0.043
-2.576 -3.058 3.546
-1.619 -2.254 -1.650
-1.875 -0.539 2.576
-3.494 -2.794 0.926
0.000 0.000 0.000
```

Magnetization = 0.0 μB/cell
Space-group type = P-4m2, No. 115
Total DFT energy (no corrections) = -31.42 eV for the cell shown

(8)
Computed, not measured: Pr2Zn2W after structural relaxation at the PBE level of DFT.

Cell and atoms, written as POSCAR:
```
Pr2Zn2W
1.0
-3.331 6.521 2.972
3.331 -6.521 2.972
3.331 6.521 -2.972
W Pr Zn
2 4 4
Cartesian
0.000 6.521 1.486
3.331 0.000 1.486
1.348 1.912 2.972
1.983 4.609 0.000
-1.983 4.609 2.972
5.314 1.912 0.000
1.794 1.522 0.000
1.794 -1.522 2.972
1.537 8.044 0.000
1.537 4.999 2.972
```

Magnetization = 0.0 μB/cell
Space-group type = Ibam, No. 72
Total DFT energy (no corrections) = -47.80 eV for the cell shown
Formation enthalpy at 0 K = 227.8 meV/atom